VASP calculation (PBE) on a relaxed RbFeRh crystal.

space group = P1 (1)
D(E_F) = 5.0 states/eV/cell
formation energy from the elements = 402 meV/atom
total moment = 4.132 μB/f.u.

Unit cell a=4.2101 b=12.3950 c=4.2111 alpha=100.50 beta=60.09 gamma=81.62
Closest atoms and distances in Å follow each position.
Element x y z (fractional)
Rh (0.6704, 0.9315, 0.5911)  6 Fe 2.52-2.60
Rh (0.8703, 0.0753, 0.0672)  4 Fe 2.34-2.55
Rb (0.3520, 0.2754, 0.9327)  3 Rh 3.38
Rb (0.5842, 0.6646, 0.9932)  3 Fe 3.46-3.47
Fe (0.2650, 0.0092, 0.3351)  6 Rh 2.55-2.60
Fe (0.0558, 0.8754, 0.8694)  4 Rh 2.34-2.52